# HgTe2HI

An optimized crystal structure of HgTe2HI (PBE, Alexandria via LeMat-Bulk). Values from VASP.

Structure (Quantum ESPRESSO input):
```
&SYSTEM
  ibrav = 0, nat = 5, ntyp = 4
/
ATOMIC_SPECIES
Hg 200.59 Hg.upf
Te 127.60 Te.upf
H 1.01 H.upf
I 126.90 I.upf
CELL_PARAMETERS angstrom
4.3979 0.0000 0.0000
0.0000 4.3979 0.0000
0.0000 0.0000 8.0403
ATOMIC_POSITIONS crystal
Hg 0.0000 0.0000 0.0000
Te 0.0000 0.5000 0.5000
Te 0.5000 0.0000 0.5000
H 0.5000 0.5000 0.5000
I 0.5000 0.5000 0.0000
```

- crystal system = tetragonal
- E above lowest polymorph (meV/atom) = 0